[1]
Entry from Alexandria: MnCr2Rh after structural relaxation (PBE).

a b c (Å): 2.6513 2.6513 6.9075
angles (deg): 90.00 90.00 90.00
Last column: nearest neighbours and their distance in Å.
Space group P4/mmm (No. 123)
One atom of each set of equivalent atoms:
Mn 0.0000 0.0000 0.0000 [1 per cell]  8 Cr 2.45, 4 Mn 2.65
Cr 0.5000 0.5000 0.2279 [2 per cell]  4 Mn 2.45, 4 Cr 2.65, 4 Rh 2.65
Rh 0.0000 0.0000 0.5000 [1 per cell]  4 Rh 2.65, 8 Cr 2.65

For the formation energy, the calculation gives 0.078 eV per atom. The calculation puts the calculated volume at 48.6 Å³/cell.


[2]
Entry from Alexandria: CaLaRh3 after structural relaxation (PBE).

a b c (Å): 4.9669 4.9669 4.9669
angles (deg): 90.00 90.00 90.00
Last column: nearest neighbours and their distance in Å.
Space group Pm-3m (No. 221)
One atom of each set of equivalent atoms:
Ca 0.0000 0.0000 0.0000 [1 per cell]  12 Rh 3.51
La 0.5000 0.5000 0.5000 [1 per cell]  6 Rh 2.48
Rh 0.0000 0.5000 0.5000 [3 per cell]  2 La 2.48

For the formation energy, the calculation gives 0.356 eV per atom. The calculation puts the calculated volume at 122.5 Å³/cell.


[3]
Entry from Alexandria: Sr3LiPd after structural relaxation (PBE).

a b c (Å): 8.7434 11.7486 7.6624
angles (deg): 90.00 90.00 90.00
Last column: nearest neighbours and their distance in Å.
Space group Pnma (No. 62)
One atom of each set of equivalent atoms:
Sr 0.0205 0.2500 0.1092 [4 per cell]  2 Pd 3.06
Sr 0.1882 0.0453 0.6703 [8 per cell]  2 Pd 3.06-3.07
Li 0.0985 0.7500 0.4280 [4 per cell]  6 Sr 3.55-3.70
Pd 0.0000 0.0000 0.0000 [4 per cell]  6 Sr 3.06-3.07

For the formation energy, the calculation gives -0.253 eV per atom. The calculation puts the calculated volume at 787.1 Å³/cell.


[4]
Entry from Alexandria: Cs2RbTmI6 after structural relaxation (PBE).

a b c (Å): 8.6777 12.9760 10.0360
angles (deg): 90.00 90.00 90.00
Last column: nearest neighbours and their distance in Å.
Space group Pmmn (No. 59, origin choice 2)
One atom of each set of equivalent atoms:
Cs 0.2500 0.0418 0.1799 [4 per cell]  7 I 3.92-4.36
Rb 0.2500 0.2500 0.6945 [2 per cell]  6 I 3.62-3.67
Tm 0.2500 0.7500 0.7978 [2 per cell]  6 I 2.98-3.02
I 0.0016 0.2500 0.4048 [4 per cell]  1 Tm 2.98
I 0.0127 0.7500 0.0184 [4 per cell]  1 Tm 3.02
I 0.2500 0.5183 0.7972 [4 per cell]  1 Tm 3.01

The uncorrected formation energy comes out at -1426 kJ/mol of formula units. The calculation puts the calculated volume at 1130.1 Å³/cell.